Entry 1:
Here is La4CrCl at its PBEsol-relaxed geometry from Alexandria via LeMat-Bulk. Energies are from meta-GGA SCAN.

The structure in POSCAR format:
```
La4CrCl
1.0
6.337 0.000 0.000
3.168 5.488 0.000
3.168 1.829 5.174
Cl Cr La
1 1 4
Cartesian
9.505 5.488 3.880
0.000 0.000 0.000
4.737 2.735 1.934
6.337 3.659 4.547
7.937 2.735 1.934
6.337 5.506 1.934
```

Properties
E ... -32.86 eV per atom
Formation energy from raw total energies ... 0.268 eV/atom
Symmetry ... No. 216

***

Entry 2:
Here is LaCrP2Cl at its PBEsol-relaxed geometry from Alexandria via LeMat-Bulk. Energies are from meta-GGA SCAN.

The structure in POSCAR format:
```
LaCrP2Cl
1.0
-2.006 -0.818 3.945
2.968 -3.280 0.829
2.872 3.132 2.110
Cr Cl P La
1 1 2 1
Cartesian
0.000 0.000 0.000
1.436 1.566 1.055
1.484 -1.640 0.415
-1.003 -0.409 1.973
1.917 -0.483 3.442
```

Properties
E ... -18.94 eV per atom
Formation energy from raw total energies ... -0.885 eV/atom
Symmetry ... No. 123

***

Entry 3:
Here is LaCr2SCl at its PBEsol-relaxed geometry from Alexandria via LeMat-Bulk. Energies are from meta-GGA SCAN.

The structure in POSCAR format:
```
LaCr2SCl
1.0
-0.815 -3.894 -1.335
3.959 -0.368 -1.342
1.616 -2.177 5.362
Cr S Cl La
2 1 1 1
Cartesian
1.979 -0.184 -0.671
-0.407 -1.947 -0.668
0.000 0.000 0.000
0.808 -1.089 2.681
2.380 -3.219 1.342
```

Properties
E ... -19.92 eV per atom
Formation energy from raw total energies ... -0.423 eV/atom
Symmetry ... No. 123

***

Entry 4:
Here is LaCrSiCl2 at its PBEsol-relaxed geometry from Alexandria via LeMat-Bulk. Energies are from meta-GGA SCAN.

The structure in POSCAR format:
```
LaCrSiCl2
1.0
-0.713 4.460 0.225
-2.697 -0.611 3.578
5.033 0.608 3.898
Cr Si Cl La
1 1 2 1
Cartesian
0.000 0.000 0.000
0.812 2.228 3.850
-1.348 -0.306 1.789
-0.357 2.230 0.112
2.517 0.304 1.949
```

Properties
E ... -17.85 eV per atom
Formation energy from raw total energies ... -0.363 eV/atom
Symmetry ... No. 123

***

Entry 5:
Here is La2YCrCl at its PBEsol-relaxed geometry from Alexandria via LeMat-Bulk. Energies are from meta-GGA SCAN.

The structure in POSCAR format:
```
La2YCrCl
1.0
-4.531 0.021 -0.134
-0.081 -5.161 1.905
-0.144 1.906 5.159
Y Cr Cl La
1 1 1 2
Cartesian
-2.378 -1.617 3.465
-2.266 0.011 -0.067
0.000 0.000 0.000
-0.072 0.953 2.580
-0.040 -2.581 0.952
```

Properties
E ... -28.41 eV per atom
Formation energy from raw total energies ... -0.331 eV/atom
Symmetry ... No. 123

***

Entry 6:
Here is LiCrCl at its PBEsol-relaxed geometry from Alexandria via LeMat-Bulk. Energies are from meta-GGA SCAN.

The structure in POSCAR format:
```
LiCrCl
1.0
-2.448 0.331 1.877
-0.011 -3.058 0.526
4.609 2.087 3.079
Cr Cl Li
1 1 1
Cartesian
-0.186 -1.140 2.523
2.045 -0.662 5.349
2.440 0.523 3.091
```

Properties
E ... -10.01 eV per atom
Formation energy from raw total energies ... -0.425 eV/atom
Energy relative to the lowest polymorph listed for this composition ... 0.000 eV per atom
Symmetry ... No. 107

***

Entry 7:
Here is LiCrCl at its PBEsol-relaxed geometry from Alexandria via LeMat-Bulk. Energies are from meta-GGA SCAN.

The structure in POSCAR format:
```
LiCrCl
1.0
-1.159 -3.194 -0.328
3.285 -1.451 2.519
-3.805 1.192 1.828
Cr Cl Li
1 1 1
Cartesian
-0.044 -3.230 2.016
-0.967 -2.664 -0.274
-1.828 -0.753 1.949
```

Properties
E ... -9.79 eV per atom
Formation energy from raw total energies ... -0.209 eV/atom
Energy relative to the lowest polymorph listed for this composition ... 0.215 eV per atom
Symmetry ... No. 187

***

Entry 8:
Here is Li5CrCl8 at its PBEsol-relaxed geometry from Alexandria via LeMat-Bulk. Energies are from meta-GGA SCAN.

The structure in POSCAR format:
```
Li5CrCl8
1.0
-5.701 2.234 0.756
0.671 -5.037 3.499
2.308 4.062 5.404
Cl Cr Li
8 1 5
Cartesian
0.330 2.212 5.095
-1.989 0.920 7.056
-0.734 0.339 2.604
-3.052 -0.952 4.565
-2.844 2.321 4.191
0.121 -1.062 5.468
-4.099 0.406 1.445
-0.931 -3.209 2.810
-1.361 0.630 4.830
2.102 0.592 5.887
-2.310 2.069 1.645
0.876 -1.566 3.017
-1.084 4.227 4.515
-2.515 -1.401 2.127
```

Properties
E ... -8.61 eV per atom
Formation energy from raw total energies ... -1.881 eV/atom
Symmetry ... No. 65

***

| no. | size of the total moment (μB per atom) |
| --- | --- |
| 1 | 1.2235 |
| 2 | 0.5422 |
| 3 | 1.0854 |
| 4 | 0.4326 |
| 5 | 0.5423 |
| 6 | 1.6176 |
| 7 | 1.7974 |
| 8 | 0.2143 |